# 1
Here is a relaxed GeW3C2 crystal from OQMD via LeMat-Bulk. Energies are from PBE.

Cell and atoms, written as POSCAR:
```
GeW3C2
1.0
-2.4430 -1.9288 0.2588
2.8199 -1.1384 -0.7128
3.5104 -2.1270 17.2831
W C Ge
6 4 2
direct
0.0000 0.0000 0.5000 W
0.0000 0.0000 0.0000 W
0.3333 0.6667 0.8642 W
0.6667 0.3333 0.3642 W
0.6667 0.3333 0.1358 W
0.3333 0.6667 0.6358 W
0.6667 0.3333 0.5724 C
0.3333 0.6667 0.0724 C
0.6667 0.3333 0.9276 C
0.3333 0.6667 0.4276 C
0.0000 0.0000 0.2500 Ge
0.0000 0.0000 0.7500 Ge
```

Calculated values
Magnetic moment ... 0.00 μB/cell
Mass density ... 14.343 g/cm3
Energy ... -120.913 eV per cell
Volume ... 12.5 Å³/atom

# 2
Here is a relaxed Y2Ge3W4C3 crystal from OQMD via LeMat-Bulk. Energies are from PBE.

Cell and atoms, written as POSCAR:
```
Y2Ge3W4C3
1.0
-0.6517 2.3365 5.0388
-4.3210 -2.5852 -2.4331
6.6710 -10.4901 5.6732
C W Y Ge
6 8 4 6
direct
0.8401 0.1695 0.5001 C
0.5000 0.5000 0.5000 C
0.0000 0.5000 0.0000 C
0.3307 0.1601 0.0002 C
0.6693 0.8399 0.9998 C
0.1599 0.8305 0.4999 C
0.1523 0.1161 0.4228 W
0.6931 0.2294 0.0771 W
0.0141 0.8757 0.0776 W
0.9859 0.1243 0.9224 W
0.7980 0.4363 0.4224 W
0.3069 0.7706 0.9229 W
0.2020 0.5637 0.5776 W
0.8477 0.8839 0.5772 W
0.5414 0.2408 0.6189 Y
0.4586 0.7592 0.3811 Y
0.6220 0.4226 0.8811 Y
0.3780 0.5774 0.1189 Y
0.0651 0.8151 0.7500 Ge
0.8941 0.6628 0.2500 Ge
0.9349 0.1849 0.2500 Ge
0.1059 0.3372 0.7500 Ge
0.4127 0.1440 0.2499 Ge
0.5873 0.8560 0.7501 Ge
```

Calculated values
Magnetic moment ... 0.01 μB/cell
Mass density ... 10.742 g/cm3
Energy ... -217.802 eV per cell
Volume ... 15.0 Å³/atom

# 3
Here is a relaxed Zr2Ge3W4C3 crystal from OQMD via LeMat-Bulk. Energies are from PBE.

Cell and atoms, written as POSCAR:
```
Zr2Ge3W4C3
1.0
-2.1382 -4.6382 -2.1858
3.3338 -3.6337 -2.5583
2.2795 -8.8469 9.6247
Ge W Zr C
6 8 4 6
direct
0.0345 0.9655 0.7500 Ge
0.5835 0.7993 0.2514 Ge
0.9656 0.0345 0.2500 Ge
0.2007 0.4165 0.2486 Ge
0.7993 0.5835 0.7514 Ge
0.4165 0.2007 0.7486 Ge
0.6925 0.8537 0.9178 W
0.9811 0.8013 0.0824 W
0.8537 0.6925 0.4178 W
0.3075 0.1463 0.0822 W
0.0189 0.1987 0.9176 W
0.1463 0.3075 0.5822 W
0.1987 0.0189 0.4176 W
0.8013 0.9811 0.5824 W
0.6300 0.4649 0.1075 Zr
0.3700 0.5351 0.8925 Zr
0.4649 0.6300 0.6075 Zr
0.5351 0.3700 0.3925 Zr
0.6671 0.1653 0.0000 C
0.5000 0.0000 0.5000 C
0.3329 0.8347 0.0000 C
0.0000 0.5000 0.0000 C
0.1653 0.6671 0.4999 C
0.8347 0.3329 0.5001 C
```

Calculated values
Magnetic moment ... 0.01 μB/cell
Mass density ... 11.266 g/cm3
Energy ... -226.695 eV per cell
Volume ... 14.4 Å³/atom

# 4
Here is a relaxed Y4Zr2Ge3C3 crystal from OQMD via LeMat-Bulk. Energies are from PBE.

Cell and atoms, written as POSCAR:
```
Y4Zr2Ge3C3
1.0
-3.8433 0.0825 4.7229
-0.0412 -4.6184 3.9689
11.2536 8.3034 4.9783
Y Ge Zr C
8 6 4 6
direct
0.1270 0.3000 0.9002 Y
0.1950 0.0389 0.0997 Y
0.8050 0.9611 0.9003 Y
0.7000 0.8730 0.5998 Y
0.0389 0.1950 0.5997 Y
0.9611 0.8050 0.4003 Y
0.8730 0.7000 0.0998 Y
0.3000 0.1270 0.4002 Y
0.6757 0.5815 0.7490 Ge
0.8410 0.1590 0.2500 Ge
0.5815 0.6757 0.2490 Ge
0.3243 0.4185 0.2510 Ge
0.1590 0.8410 0.7500 Ge
0.4185 0.3243 0.7510 Ge
0.3537 0.5266 0.5791 Zr
0.4734 0.6463 0.9209 Zr
0.5266 0.3537 0.0791 Zr
0.6463 0.4734 0.4209 Zr
0.0000 0.5000 0.5000 C
0.3430 0.8141 0.5002 C
0.6570 0.1859 0.4998 C
0.8141 0.3430 0.0002 C
0.1859 0.6570 0.9998 C
0.5000 0.0000 0.0000 C
```

Calculated values
Magnetic moment ... 0.01 μB/cell
Mass density ... 5.686 g/cm3
Energy ... -184.801 eV per cell
Volume ... 19.3 Å³/atom

# 5
Here is a relaxed Y2Zr4Ge3C3 crystal from OQMD via LeMat-Bulk. Energies are from PBE.

Cell and atoms, written as POSCAR:
```
Y2Zr4Ge3C3
1.0
-3.1671 3.3497 3.7024
1.7393 0.6548 5.6129
8.0948 9.9338 -6.7759
Zr C Ge Y
8 6 6 4
direct
0.1428 0.3056 0.9139 Zr
0.9770 0.7997 0.4139 Zr
0.8572 0.6944 0.0861 Zr
0.2003 0.0230 0.0861 Zr
0.6944 0.8572 0.5861 Zr
0.0230 0.2003 0.5861 Zr
0.7997 0.9770 0.9139 Zr
0.3056 0.1428 0.4139 Zr
0.3282 0.8438 0.5000 C
0.5000 0.0000 0.0000 C
0.1562 0.6718 0.0000 C
0.0000 0.5000 0.5000 C
0.6718 0.1562 0.5000 C
0.8438 0.3282 0.0000 C
0.5843 0.8533 0.2509 Ge
0.0203 0.9797 0.2500 Ge
0.4157 0.1467 0.7491 Ge
0.8533 0.5843 0.7509 Ge
0.1467 0.4157 0.2491 Ge
0.9797 0.0203 0.7500 Ge
0.5356 0.3717 0.1069 Y
0.4644 0.6283 0.8931 Y
0.3717 0.5356 0.6069 Y
0.6283 0.4644 0.3931 Y
```

Calculated values
Magnetic moment ... 0.01 μB/cell
Mass density ... 6.201 g/cm3
Energy ... -194.842 eV per cell
Volume ... 17.8 Å³/atom

# 6
Here is a relaxed Zr4ZnGeC2 crystal from OQMD via LeMat-Bulk. Energies are from PBE.

Cell and atoms, written as POSCAR:
```
Zr4ZnGeC2
1.0
3.3338 0.0000 0.0000
-1.6669 2.8871 0.0000
0.0000 0.0000 14.1223
Zr Zn C Ge
4 1 2 1
direct
0.3333 0.6667 0.6559 Zr
0.0000 0.0000 0.8364 Zr
0.3333 0.6667 0.3441 Zr
0.0000 0.0000 0.1636 Zr
0.3333 0.6667 0.0000 Zn
0.6667 0.3333 0.2533 C
0.6667 0.3333 0.7467 C
0.0000 0.0000 0.5000 Ge
```

Calculated values
Magnetic moment ... 0.18 μB/cell
Mass density ... 6.438 g/cm3
Energy ... -63.762 eV per cell
Volume ... 17.0 Å³/atom

# 7
Here is a relaxed Zr4GeC3 crystal from OQMD via LeMat-Bulk. Energies are from PBE.

Cell and atoms, written as POSCAR:
```
Zr4GeC3
1.0
-0.9527 0.1473 3.2181
3.1923 -0.7013 -0.7763
5.3634 23.8657 0.4957
C Ge Zr
6 2 8
direct
0.6667 0.3333 0.3866 C
0.6667 0.3333 0.1134 C
0.3333 0.6667 0.8866 C
0.3333 0.6667 0.6134 C
0.0000 0.0000 0.5000 C
0.0000 0.0000 0.0000 C
0.6667 0.3333 0.7500 Ge
0.3333 0.6667 0.2500 Ge
0.6667 0.3333 0.9461 Zr
0.0000 0.0000 0.6617 Zr
0.0000 0.0000 0.3383 Zr
0.0000 0.0000 0.8383 Zr
0.6667 0.3333 0.5539 Zr
0.3333 0.6667 0.0539 Zr
0.3333 0.6667 0.4461 Zr
0.0000 0.0000 0.1617 Zr
```

Calculated values
Magnetic moment ... 0.00 μB/cell
Mass density ... 6.577 g/cm3
Energy ... -146.242 eV per cell
Volume ... 14.9 Å³/atom

# 8
Here is a relaxed ZrGe2C crystal from OQMD via LeMat-Bulk. Energies are from PBE.

Cell and atoms, written as POSCAR:
```
ZrGe2C
1.0
3.1089 0.0000 0.0000
-1.5545 2.6924 0.0000
0.0000 0.0000 14.6239
Ge Zr C
4 2 2
direct
0.3333 0.6667 0.4129 Ge
0.6667 0.3333 0.5871 Ge
0.3333 0.6667 0.0871 Ge
0.6667 0.3333 0.9129 Ge
0.3333 0.6667 0.7500 Zr
0.6667 0.3333 0.2500 Zr
0.0000 0.0000 0.0000 C
0.0000 0.0000 0.5000 C
```

Calculated values
Magnetic moment ... 0.01 μB/cell
Mass density ... 6.742 g/cm3
Energy ... -50.086 eV per cell
Volume ... 15.3 Å³/atom